Here is a relaxed structure of SiOs3W from Alexandria. Energies are from PBE.

a = 4.728 Å, b = 4.728 Å, c = 4.728 Å
α = 90.00°, β = 90.00°, γ = 90.00°
Space group Pm-3m (No. 221)
Symmetry-distinct sites (fractional):
Si 0.000 0.000 0.000 (multiplicity 1)
Os 0.000 0.500 0.500 (multiplicity 3)
W 0.500 0.500 0.500 (multiplicity 1)

Energy: -40.0 eV for the cell shown
Mass density: 12.296 Mg/m³
Relative energy among the computed polymorphs: 1152.0 meV/atom
Formation energy from raw total energies: 2.42 eV/atom
D(E_F): 6.37 states/eV/cell
M_tot: 0.00 μB/f.u.